Below is a relaxed structure of ScMn2Sb, with properties calculated at the PBE-GGA level.

Its magnetic moment is 5.88 μB per formula unit. The total energy comes out at -27.561 eV for the cell shown. As for the crystal system: trigonal. For the formation energy without anion corrections, the calculation gives 0.308 eV per atom.

CIF file:
```
data_ScMn2Sb
_chemical_formula_sum 'Sc1 Mn2 Sb1'
_cell_length_a 9.045
_cell_length_b 9.045
_cell_length_c 9.045
_cell_angle_alpha 20.06
_cell_angle_beta 20.06
_cell_angle_gamma 20.06
_space_group_name_H-M_alt 'P 1'
_space_group_IT_number 1
loop_
_space_group_symop_operation_xyz
'x,y,z'
loop_
_atom_site_label
_atom_site_type_symbol
_atom_site_fract_x
_atom_site_fract_y
_atom_site_fract_z
Mn1 Mn 0.501 0.501 0.501
Sb1 Sb 0.250 0.250 0.250
Sc1 Sc 0.750 0.750 0.750
Mn2 Mn 0.999 0.999 0.999
```



Below is a relaxed structure of ScMn2Sb, with properties calculated at the PBE-GGA level.

Its magnetic moment is 6.07 μB per formula unit. The total energy comes out at -29.154 eV for the cell shown. As for the crystal system: tetragonal. For the formation energy without anion corrections, the calculation gives -0.090 eV per atom.

CIF file:
```
data_ScMn2Sb
_chemical_formula_sum 'Sc1 Mn2 Sb1'
_cell_length_a 5.099
_cell_length_b 5.099
_cell_length_c 5.099
_cell_angle_alpha 132.62
_cell_angle_beta 132.61
_cell_angle_gamma 69.26
_space_group_name_H-M_alt 'P 1'
_space_group_IT_number 1
loop_
_space_group_symop_operation_xyz
'x,y,z'
loop_
_atom_site_label
_atom_site_type_symbol
_atom_site_fract_x
_atom_site_fract_y
_atom_site_fract_z
Sb1 Sb 0.750 0.250 0.500
Mn1 Mn 0.500 0.500 0.000
Sc1 Sc 0.250 0.750 0.500
Mn2 Mn 0.000 0.000 0.000
```



Below is a relaxed structure of ScMnSb, with properties calculated at the PBE-GGA level.

Its magnetic moment is 2.69 μB per formula unit. The total energy comes out at -20.354 eV for the cell shown. As for the crystal system: hexagonal. For the formation energy without anion corrections, the calculation gives -0.244 eV per atom.

CIF file:
```
data_ScMnSb
_chemical_formula_sum 'Sc1 Mn1 Sb1'
_cell_length_a 4.489
_cell_length_b 4.489
_cell_length_c 3.376
_cell_angle_alpha 90.00
_cell_angle_beta 90.00
_cell_angle_gamma 120.00
_space_group_name_H-M_alt 'P 1'
_space_group_IT_number 1
loop_
_space_group_symop_operation_xyz
'x,y,z'
loop_
_atom_site_label
_atom_site_type_symbol
_atom_site_fract_x
_atom_site_fract_y
_atom_site_fract_z
Sb1 Sb 0.667 0.333 0.167
Sc1 Sc 0.333 0.667 0.667
Mn1 Mn 0.000 0.000 0.166
```